Entry w
Here is LiNi4Ir after structural relaxation from the Alexandria database. Energies are from PBE-GGA.

Lattice parameters (Å, degrees): 4.683 4.683 4.683 60.00 60.00 60.00
Last column: magnetic moment on the atom in μB.
Fractional coordinates of all 6 atoms:
1 Ni 0.375 0.375 0.876  0.72
2 Ni 0.375 0.375 0.375  0.72
3 Ni 0.876 0.375 0.375  0.72
4 Ni 0.375 0.876 0.375  0.72
5 Ir 0.750 0.750 0.750  0.85
6 Li 0.000 0.000 0.000  -0.01

Properties
The density of states at the Fermi level is 7.86 states/eV/f.u.

=====

Entry x
Here is LiNi4Ir after structural relaxation from the Alexandria database. Energies are from PBE-GGA.

Lattice parameters (Å, degrees): 4.399 5.680 7.582 76.92 90.56 130.39
Last column: magnetic moment on the atom in μB.
Fractional coordinates of all 12 atoms:
1 Ni 0.247 0.000 0.918  0.23
2 Ni 0.495 0.499 0.335  0.10
3 Ni 0.995 0.499 0.835  0.10
4 Ni 0.747 0.000 0.418  0.23
5 Ni 0.505 0.501 0.665  0.10
6 Ni 0.005 0.501 0.165  0.10
7 Ni 0.753 0.000 0.082  0.23
8 Ni 0.253 0.000 0.582  0.23
9 Li 0.750 0.000 0.750  -0.01
10 Li 0.250 0.000 0.250  -0.01
11 Ir 0.500 0.500 0.000  0.09
12 Ir 0.000 0.500 0.500  0.09

Properties
The density of states at the Fermi level is 8.22 states/eV/f.u.

=====

Relative energies, unit meV per atom: entry w 126; entry x 0

=====

Entry w
Here is LiNi2Ir2 after structural relaxation from the Alexandria database. Energies are from PBE-GGA.

Lattice parameters (Å, degrees): 3.773 3.773 5.988 71.64 71.64 90.00
Fractional coordinates of all 5 atoms:
1 Ni 0.750 0.250 0.500
2 Ni 0.250 0.750 0.500
3 Ir 0.608 0.608 0.783
4 Ir 0.392 0.392 0.217
5 Li 0.000 0.000 0.000

Properties
The density of states at the Fermi level is 5.10 states/eV/f.u.

=====

Entry x
Here is LiNi2Ir2 after structural relaxation from the Alexandria database. Energies are from PBE-GGA.

Lattice parameters (Å, degrees): 7.292 7.292 2.636 90.00 90.00 90.00
Fractional coordinates of all 10 atoms:
1 Ni 0.329 0.829 0.000
2 Ni 0.671 0.171 0.000
3 Ni 0.829 0.671 0.000
4 Ni 0.171 0.329 0.000
5 Li 0.000 0.000 0.000
6 Li 0.500 0.500 0.000
7 Ir 0.372 0.128 0.500
8 Ir 0.872 0.372 0.500
9 Ir 0.628 0.872 0.500
10 Ir 0.128 0.628 0.500

Properties
The density of states at the Fermi level is 6.79 states/eV/f.u.

=====

Relative energies, unit meV per atom: entry w 252; entry x 0

=====

Entry w
Here is Li6Ni2Ir after structural relaxation from the Alexandria database. Energies are from PBE-GGA.

Lattice parameters (Å, degrees): 2.650 7.602 7.602 125.14 85.94 85.94
Fractional coordinates of all 9 atoms:
1 Ni 0.500 0.841 0.159
2 Ni 0.500 0.159 0.841
3 Li 0.841 0.492 0.145
4 Li 0.357 0.314 0.314
5 Li 0.159 0.508 0.855
6 Li 0.643 0.686 0.686
7 Li 0.841 0.145 0.492
8 Li 0.159 0.855 0.508
9 Ir 0.000 0.000 0.000

Properties
The density of states at the Fermi level is 4.40 states/eV/f.u.

=====

Entry x
Here is Li6Ni2Ir after structural relaxation from the Alexandria database. Energies are from PBE-GGA.

Lattice parameters (Å, degrees): 5.539 5.539 8.209 98.64 98.64 104.24
Fractional coordinates of all 18 atoms:
1 Li 0.211 0.463 0.479
2 Li 0.196 0.447 0.136
3 Li 0.463 0.211 0.979
4 Li 0.804 0.553 0.864
5 Li 0.116 0.888 0.412
6 Li 0.888 0.116 0.912
7 Li 0.789 0.537 0.521
8 Li 0.553 0.804 0.364
9 Li 0.447 0.196 0.636
10 Li 0.884 0.112 0.588
11 Li 0.112 0.884 0.088
12 Li 0.537 0.789 0.021
13 Ir 0.145 0.855 0.750
14 Ir 0.855 0.145 0.250
15 Ni 0.547 0.781 0.703
16 Ni 0.453 0.219 0.297
17 Ni 0.219 0.453 0.797
18 Ni 0.781 0.547 0.203

Properties
The density of states at the Fermi level is 5.91 states/eV/f.u.

=====

Relative energies, unit meV per atom: entry w 0; entry x 37

=====

Entry w
Here is LiNpIr2 after structural relaxation from the Alexandria database. Energies are from PBE-GGA.

Lattice parameters (Å, degrees): 3.788 4.143 4.143 90.00 90.00 90.00
Last column: magnetic moment on the atom in μB.
Fractional coordinates of all 4 atoms:
1 Np 0.500 0.500 0.500  2.90
2 Ir 0.000 0.500 0.000  -0.25
3 Ir 0.000 0.000 0.500  -0.25
4 Li 0.500 0.000 0.000  0.01

Properties
The density of states at the Fermi level is 7.18 states/eV/f.u.

=====

Entry x
Here is LiNpIr2 after structural relaxation from the Alexandria database. Energies are from PBE-GGA.

Lattice parameters (Å, degrees): 4.561 4.561 4.561 60.00 60.00 60.00
Last column: magnetic moment on the atom in μB.
Fractional coordinates of all 4 atoms:
1 Ir 0.250 0.250 0.250  -0.18
2 Ir 0.750 0.750 0.750  -0.18
3 Li 0.500 0.500 0.500  0.01
4 Np 0.000 0.000 0.000  3.12

Properties
The density of states at the Fermi level is 5.13 states/eV/f.u.

=====

Relative energies, unit meV per atom: entry w 0; entry x 52

=====

Entry w
Here is LiIrO4 after structural relaxation from the Alexandria database. Energies are from PBE-GGA.

Lattice parameters (Å, degrees): 4.529 5.495 10.533 90.00 90.00 90.00
Fractional coordinates of all 24 atoms:
1 O 0.781 0.002 0.855
2 O 0.219 0.002 0.645
3 O 0.281 0.498 0.145
4 O 0.767 0.263 0.078
5 O 0.267 0.237 0.922
6 O 0.719 0.498 0.355
7 O 0.781 0.998 0.355
8 O 0.281 0.502 0.645
9 O 0.767 0.737 0.578
10 O 0.719 0.502 0.855
11 O 0.219 0.998 0.145
12 O 0.233 0.737 0.922
13 O 0.733 0.237 0.578
14 O 0.733 0.763 0.078
15 O 0.267 0.763 0.422
16 O 0.233 0.263 0.422
17 Ir 0.000 0.000 0.000
18 Ir 0.500 0.500 0.500
19 Ir 0.500 0.500 0.000
20 Ir 0.000 0.000 0.500
21 Li 0.500 0.197 0.750
22 Li 0.000 0.303 0.250
23 Li 0.500 0.803 0.250
24 Li 0.000 0.697 0.750

Properties
The density of states at the Fermi level is 3.50 states/eV/f.u.

=====

Entry x
Here is LiIrO4 after structural relaxation from the Alexandria database. Energies are from PBE-GGA.

Lattice parameters (Å, degrees): 4.851 5.007 7.222 108.45 107.74 95.16
Fractional coordinates of all 12 atoms:
1 O 0.250 0.484 0.601
2 O 0.149 0.883 0.399
3 O 0.851 0.117 0.601
4 O 0.750 0.516 0.399
5 O 0.903 0.742 0.816
6 O 0.413 0.074 0.816
7 O 0.097 0.258 0.184
8 O 0.587 0.926 0.184
9 Ir 0.927 0.177 0.353
10 Ir 0.073 0.823 0.647
11 Li 0.377 0.627 0.253
12 Li 0.623 0.373 0.747

Properties
The density of states at the Fermi level is 3.35 states/eV/f.u.

=====

Relative energies, unit meV per atom: entry w 0; entry x 34

=====

Entry w
Here is Li3IrO after structural relaxation from the Alexandria database. Energies are from PBE-GGA.

Lattice parameters (Å, degrees): 3.849 3.849 3.849 90.00 90.00 90.00
Last column: magnetic moment on the atom in μB.
Fractional coordinates of all 5 atoms:
1 Li 0.000 0.000 0.500  0.00
2 Li 0.000 0.500 0.000  0.00
3 Li 0.500 0.000 0.000  0.00
4 Ir 0.500 0.500 0.500  0.93
5 O 0.000 0.000 0.000  0.16

Properties
The density of states at the Fermi level is 7.39 states/eV/f.u.

=====

Entry x
Here is Li3IrO after structural relaxation from the Alexandria database. Energies are from PBE-GGA.

Lattice parameters (Å, degrees): 4.735 4.735 4.735 90.00 90.00 90.00
Last column: magnetic moment on the atom in μB.
Fractional coordinates of all 5 atoms:
1 Li 0.500 0.000 0.000  -0.01
2 Li 0.000 0.000 0.500  0.00
3 Li 0.000 0.500 0.000  -0.01
4 O 0.500 0.500 0.500  0.93
5 Ir 0.000 0.000 0.000  0.97

Properties
The density of states at the Fermi level is 5.46 states/eV/f.u.

=====

Relative energies, unit meV per atom: entry w 0; entry x 1081

=====

Entry w
Here is LiIrOs2 after structural relaxation from the Alexandria database. Energies are from PBE-GGA.

Lattice parameters (Å, degrees): 2.721 3.972 5.092 90.00 90.00 90.00
Fractional coordinates of all 4 atoms:
1 Os 0.000 0.000 0.987
2 Os 0.000 0.000 0.513
3 Li 0.500 0.500 0.750
4 Ir 0.500 0.500 0.250

Properties
The density of states at the Fermi level is 3.49 states/eV/f.u.

=====

Entry x
Here is LiIrOs2 after structural relaxation from the Alexandria database. Energies are from PBE-GGA.

Lattice parameters (Å, degrees): 4.045 2.679 5.180 75.05 90.00 90.00
Fractional coordinates of all 4 atoms:
1 Li 0.500 0.955 0.728
2 Ir 0.000 0.543 0.539
3 Os 0.000 0.805 0.005
4 Os 0.500 0.196 0.228

Properties
The density of states at the Fermi level is 3.00 states/eV/f.u.

=====

Entry y
Here is LiIrOs2 after structural relaxation from the Alexandria database. Energies are from PBE-GGA.

Lattice parameters (Å, degrees): 2.666 2.666 9.296 90.00 90.00 118.46
Fractional coordinates of all 4 atoms:
1 Ir 0.500 0.500 0.250
2 Li 0.500 0.500 0.750
3 Os 0.000 0.000 0.999
4 Os 0.000 0.000 0.501

Properties
The density of states at the Fermi level is 3.60 states/eV/f.u.

=====

Relative energies, unit meV per atom: entry w 75; entry x 0; entry y 283

=====

Entry w
Here is LiIr2Os after structural relaxation from the Alexandria database. Energies are from PBE-GGA.

Lattice parameters (Å, degrees): 4.601 4.601 4.601 130.57 130.57 72.50
Last column: magnetic moment on the atom in μB.
Fractional coordinates of all 4 atoms:
1 Ir 0.500 0.500 0.000  0.06
2 Ir 0.000 0.000 0.000  0.06
3 Os 0.750 0.250 0.500  0.37
4 Li 0.250 0.750 0.500  0.00

Properties
The density of states at the Fermi level is 4.72 states/eV/f.u.

=====

Entry x
Here is LiIr2Os after structural relaxation from the Alexandria database. Energies are from PBE-GGA.

Lattice parameters (Å, degrees): 2.756 2.756 7.174 90.00 90.00 90.00
Fractional coordinates of all 4 atoms:
1 Ir 0.000 0.000 0.997
2 Ir 0.500 0.500 0.264
3 Li 0.000 0.000 0.496
4 Os 0.500 0.500 0.743

Properties
The density of states at the Fermi level is 4.56 states/eV/f.u.

=====

Entry y
Here is LiIr2Os after structural relaxation from the Alexandria database. Energies are from PBE-GGA.

Lattice parameters (Å, degrees): 2.765 4.546 4.462 90.00 90.00 90.00
Fractional coordinates of all 4 atoms:
1 Li 0.500 0.000 0.500
2 Ir 0.000 0.000 0.000
3 Ir 0.500 0.500 0.000
4 Os 0.000 0.500 0.500

Properties
The density of states at the Fermi level is 4.45 states/eV/f.u.

=====

Entry z
Here is LiIr2Os after structural relaxation from the Alexandria database. Energies are from PBE-GGA.

Lattice parameters (Å, degrees): 2.689 2.689 9.088 90.00 90.00 118.55
Fractional coordinates of all 4 atoms:
1 Ir 0.000 0.000 0.497
2 Ir 0.000 0.000 0.003
3 Li 0.500 0.500 0.250
4 Os 0.500 0.500 0.750

Properties
The density of states at the Fermi level is 4.71 states/eV/f.u.

=====

Relative energies, unit meV per atom: entry w 0; entry x 138; entry y 213; entry z 164

=====

Entry w
Here is LiIr2Os after structural relaxation from the Alexandria database. Energies are from PBE-GGA.

Lattice parameters (Å, degrees): 4.501 4.501 2.771 90.00 90.00 90.00
Fractional coordinates of all 4 atoms:
1 Os 0.000 0.500 0.500
2 Ir 0.000 0.000 0.000
3 Ir 0.500 0.500 0.000
4 Li 0.500 0.000 0.500

Properties
The density of states at the Fermi level is 5.11 states/eV/f.u.

=====

Entry x
Here is LiIr2Os after structural relaxation from the Alexandria database. Energies are from PBE-GGA.

Lattice parameters (Å, degrees): 2.723 3.907 5.199 90.00 90.00 90.00
Fractional coordinates of all 4 atoms:
1 Ir 0.500 0.500 0.273
2 Ir 0.000 0.000 0.984
3 Os 0.500 0.500 0.755
4 Li 0.000 0.000 0.488

Properties
The density of states at the Fermi level is 3.40 states/eV/f.u.

=====

Entry y
Here is LiIr2Os after structural relaxation from the Alexandria database. Energies are from PBE-GGA.

Lattice parameters (Å, degrees): 4.279 4.279 4.279 60.00 60.00 60.00
Fractional coordinates of all 4 atoms:
1 Li 0.750 0.750 0.750
2 Os 0.500 0.500 0.500
3 Ir 0.250 0.250 0.250
4 Ir 0.000 0.000 0.000

Properties
The density of states at the Fermi level is 5.26 states/eV/f.u.

=====

Entry z
Here is LiIr2Os after structural relaxation from the Alexandria database. Energies are from PBE-GGA.

Lattice parameters (Å, degrees): 4.018 2.686 5.264 72.82 90.00 90.00
Fractional coordinates of all 4 atoms:
1 Ir 0.000 0.401 0.489
2 Ir 0.000 0.099 0.011
3 Li 0.500 0.250 0.250
4 Os 0.500 0.750 0.750

Properties
The density of states at the Fermi level is 2.72 states/eV/f.u.

=====

Relative energies, unit meV per atom: entry w 113; entry x 28; entry y 228; entry z 0

=====

Entry w
Here is LiPIr3 after structural relaxation from the Alexandria database. Energies are from PBE-GGA.

Lattice parameters (Å, degrees): 4.137 4.137 4.137 90.00 90.00 90.00
Fractional coordinates of all 5 atoms:
1 Ir 0.000 0.500 0.000
2 Ir 0.000 0.000 0.500
3 Ir 0.500 0.000 0.000
4 Li 0.000 0.000 0.000
5 P 0.500 0.500 0.500

Properties
The density of states at the Fermi level is 2.61 states/eV/f.u.

=====

Entry x
Here is LiPIr3 after structural relaxation from the Alexandria database. Energies are from PBE-GGA.

Lattice parameters (Å, degrees): 4.393 4.393 4.393 90.00 90.00 90.00
Fractional coordinates of all 5 atoms:
1 P 0.000 0.000 0.000
2 Ir 0.000 0.000 0.500
3 Ir 0.000 0.500 0.000
4 Ir 0.500 0.000 0.000
5 Li 0.500 0.500 0.500

Properties
The density of states at the Fermi level is 3.95 states/eV/f.u.

=====

Relative energies, unit meV per atom: entry w 815; entry x 0